(1)
The following is a PBE calculation of a relaxed structure of CeNpBeN3, from Alexandria via LeMat-Bulk. Values from VASP.

Structure (Quantum ESPRESSO input):
```
&SYSTEM
  ibrav = 0, nat = 12, ntyp = 4
/
ATOMIC_SPECIES
Ce 140.12 Ce.upf
Np 237.00 Np.upf
N 14.01 N.upf
Be 9.01 Be.upf
CELL_PARAMETERS angstrom
3.294 0.000 0.000
0.000 7.126 0.775
0.000 -1.925 6.659
ATOMIC_POSITIONS crystal
Ce 0.250 0.170 0.208
Np 0.250 0.654 0.187
N 0.250 0.589 0.857
N 0.750 0.158 0.507
N 0.250 0.842 0.493
N 0.750 0.411 0.143
N 0.750 0.880 0.153
Ce 0.750 0.830 0.792
N 0.250 0.120 0.847
Np 0.750 0.346 0.813
Be 0.250 0.076 0.595
Be 0.750 0.924 0.405
```

(2)
The following is a PBE calculation of a relaxed structure of CePa2BeN5, from Alexandria via LeMat-Bulk. Values from VASP.

Structure (Quantum ESPRESSO input):
```
&SYSTEM
  ibrav = 0, nat = 18, ntyp = 4
/
ATOMIC_SPECIES
Ce 140.12 Ce.upf
Be 9.01 Be.upf
N 14.01 N.upf
Pa 231.04 Pa.upf
CELL_PARAMETERS angstrom
-2.222 1.682 -1.722
-4.660 -3.679 5.534
1.052 7.188 5.665
ATOMIC_POSITIONS crystal
Ce 0.206 0.412 0.000
Be 0.457 0.913 0.456
N 0.359 0.719 0.013
N 0.319 0.637 0.691
N 0.492 0.983 0.787
N 0.641 0.281 0.513
Pa 0.088 0.176 0.680
Pa 0.893 0.787 0.815
N 0.649 0.299 0.848
N 0.508 0.017 0.287
Be 0.543 0.087 0.956
Pa 0.107 0.213 0.315
Pa 0.912 0.824 0.180
N 0.351 0.701 0.348
N 0.681 0.363 0.191
Ce 0.794 0.588 0.500
N 0.030 0.059 0.034
N 0.970 0.941 0.534
```

(3)
The following is a PBE calculation of a relaxed structure of CePa2BeN4, from Alexandria via LeMat-Bulk. Values from VASP.

Structure (Quantum ESPRESSO input):
```
&SYSTEM
  ibrav = 0, nat = 16, ntyp = 4
/
ATOMIC_SPECIES
N 14.01 N.upf
Ce 140.12 Ce.upf
Pa 231.04 Pa.upf
Be 9.01 Be.upf
CELL_PARAMETERS angstrom
-1.453 -1.965 2.508
5.843 0.296 1.172
-1.708 9.176 6.198
ATOMIC_POSITIONS crystal
N 0.000 0.000 0.000
Ce 0.902 0.804 0.250
N 0.739 0.479 0.873
Pa 0.369 0.737 0.555
Ce 0.098 0.196 0.750
N 0.422 0.844 0.750
Pa 0.631 0.263 0.445
N 0.000 0.000 0.500
N 0.739 0.479 0.627
Pa 0.369 0.737 0.945
Be 0.180 0.360 0.250
N 0.261 0.521 0.127
N 0.578 0.156 0.250
Be 0.820 0.640 0.750
Pa 0.631 0.263 0.055
N 0.261 0.521 0.373
```

(4)
The following is a PBE calculation of a relaxed structure of CePrBeN3, from Alexandria via LeMat-Bulk. Values from VASP.

Structure (Quantum ESPRESSO input):
```
&SYSTEM
  ibrav = 0, nat = 12, ntyp = 4
/
ATOMIC_SPECIES
Ce 140.12 Ce.upf
Pr 140.91 Pr.upf
N 14.01 N.upf
Be 9.01 Be.upf
CELL_PARAMETERS angstrom
-1.390 -3.090 -0.473
4.660 -2.848 4.902
-5.207 1.685 4.293
ATOMIC_POSITIONS crystal
Ce 0.750 0.348 0.810
Pr 0.750 0.833 0.788
N 0.250 0.123 0.846
Be 0.750 0.926 0.402
Pr 0.250 0.167 0.212
N 0.750 0.151 0.506
Ce 0.250 0.652 0.190
N 0.750 0.415 0.149
N 0.250 0.585 0.851
N 0.250 0.849 0.494
Be 0.250 0.074 0.598
N 0.750 0.877 0.154
```

These records have formation energy without anion corrections values of -7.0 -11.4 -11.0 -7.4 eV/f.u., in the order they appear.